Record 1
The following is a DFT calculation (PBE) of a relaxed structure of Th3HgBi.

Raw total energy (eV per atom): -5.1428

Lattice parameters (Å, degrees): 9.351 9.351 5.018 90.00 90.00 128.92
Element x y z (fractional)
Th  0.000  0.500  0.500
Th  0.183  0.817  0.000
Th  0.326  0.326  0.500
Th  0.500  0.000  0.500
Th  0.674  0.674  0.500
Th  0.817  0.183  0.000
Hg  0.087  0.913  0.500
Hg  0.913  0.087  0.500
Bi  0.377  0.623  0.000
Bi  0.623  0.377  0.000



Record 2
The following is a DFT calculation (PBE) of a relaxed structure of Tm3AsO7.

Raw formation energy (meV/atom): -2955

Lattice parameters (Å, degrees): 6.270 6.270 7.242 90.00 90.00 109.05
Element x y z (fractional)
Tm  0.021  0.021  0.000
Tm  0.035  0.498  0.253
Tm  0.498  0.035  0.747
Tm  0.502  0.965  0.247
Tm  0.965  0.502  0.753
Tm  0.979  0.979  0.500
As  0.499  0.499  0.500
As  0.501  0.501  0.000
O  0.130  0.870  0.750
O  0.137  0.863  0.250
O  0.187  0.429  0.973
O  0.196  0.445  0.532
O  0.429  0.187  0.027
O  0.438  0.562  0.250
O  0.445  0.196  0.468
O  0.555  0.804  0.968
O  0.562  0.438  0.750
O  0.571  0.813  0.527
O  0.804  0.555  0.032
O  0.813  0.571  0.473
O  0.863  0.137  0.750
O  0.870  0.130  0.250



Record 3
The following is a DFT calculation (PBE) of a relaxed structure of TaTiGaMo.

Energy above the lowest structure with this stoichiometry (meV/atom): 103.1

Lattice parameters (Å, degrees): 6.394 6.394 6.394 90.00 90.00 90.00
Element x y z (fractional)
Ta  0.000  0.000  0.000
Ta  0.000  0.500  0.500
Ta  0.500  0.000  0.500
Ta  0.500  0.500  0.000
Ti  0.000  0.000  0.500
Ti  0.000  0.500  0.000
Ti  0.500  0.000  0.000
Ti  0.500  0.500  0.500
Ga  0.250  0.250  0.250
Ga  0.250  0.750  0.750
Ga  0.750  0.250  0.750
Ga  0.750  0.750  0.250
Mo  0.250  0.250  0.750
Mo  0.250  0.750  0.250
Mo  0.750  0.250  0.250
Mo  0.750  0.750  0.750



Record 4
The following is a DFT calculation (PBE) of a relaxed structure of ZrCuH.

Energy above the lowest structure with this stoichiometry (meV/atom): 191.9

Lattice parameters (Å, degrees): 5.818 3.292 8.665 90.00 103.04 90.00
Element x y z (fractional)
Zr  0.221  0.000  0.173
Zr  0.279  0.500  0.827
Zr  0.721  0.500  0.173
Zr  0.779  0.000  0.827
Cu  0.132  0.500  0.408
Cu  0.368  0.000  0.592
Cu  0.632  0.000  0.408
Cu  0.868  0.500  0.592
H  0.142  0.000  0.926
H  0.358  0.500  0.074
H  0.642  0.500  0.926
H  0.858  0.000  0.074



Record 5
The following is a DFT calculation (PBE) of a relaxed structure of CuSiAs3.

Energy above the lowest structure with this stoichiometry (meV/atom): 0.0
Raw formation energy (meV/atom): 830

Lattice parameters (Å, degrees): 4.704 4.704 4.704 90.00 90.00 90.00
Element x y z (fractional)
Cu  0.000  0.000  0.000
Si  0.500  0.500  0.500
As  0.000  0.000  0.500
As  0.000  0.500  0.000
As  0.500  0.000  0.000



Record 6
The following is a DFT calculation (PBE) of a relaxed structure of LiZr2Ti2.

Energy above the lowest structure with this stoichiometry (meV/atom): 0.0

Lattice parameters (Å, degrees): 7.193 7.193 3.881 90.00 90.00 90.00
Element x y z (fractional)
Li  0.000  0.000  0.000
Li  0.500  0.500  0.000
Zr  0.155  0.345  0.500
Zr  0.345  0.845  0.500
Zr  0.655  0.155  0.500
Zr  0.845  0.655  0.500
Ti  0.137  0.637  0.000
Ti  0.363  0.137  0.000
Ti  0.637  0.863  0.000
Ti  0.863  0.363  0.000



Record 7
The following is a DFT calculation (PBE) of a relaxed structure of Tb5Nd3Se12.

Raw formation energy (meV/atom): -1709

Lattice parameters (Å, degrees): 14.770 14.770 14.770 109.47 109.47 109.47
Element x y z (fractional)
Tb  0.000  0.000  0.000
Tb  0.000  0.000  0.500
Tb  0.000  0.500  0.000
Tb  0.000  0.500  0.500
Tb  0.125  0.750  0.875
Tb  0.125  0.875  0.250
Tb  0.250  0.125  0.875
Tb  0.250  0.625  0.375
Tb  0.375  0.250  0.625
Tb  0.375  0.625  0.750
Tb  0.500  0.000  0.000
Tb  0.500  0.000  0.500
Tb  0.500  0.500  0.000
Tb  0.500  0.500  0.500
Tb  0.625  0.375  0.250
Tb  0.625  0.750  0.375
Tb  0.750  0.375  0.625
Tb  0.750  0.875  0.125
Tb  0.875  0.125  0.750
Tb  0.875  0.250  0.125
Nd  0.125  0.250  0.375
Nd  0.125  0.375  0.750
Nd  0.250  0.375  0.125
Nd  0.250  0.875  0.625
Nd  0.375  0.125  0.250
Nd  0.375  0.750  0.125
Nd  0.625  0.250  0.875
Nd  0.625  0.875  0.750
Nd  0.750  0.125  0.375
Nd  0.750  0.625  0.875
Nd  0.875  0.625  0.250
Nd  0.875  0.750  0.625
Se  0.047  0.222  0.130
Se  0.047  0.326  0.917
Se  0.083  0.630  0.408
Se  0.083  0.953  0.674
Se  0.092  0.722  0.674
Se  0.092  0.870  0.417
Se  0.130  0.047  0.222
Se  0.130  0.583  0.908
Se  0.174  0.222  0.592
Se  0.174  0.453  0.583
Se  0.222  0.130  0.047
Se  0.222  0.592  0.174
Se  0.278  0.326  0.908
Se  0.278  0.453  0.370
Se  0.326  0.908  0.278
Se  0.326  0.917  0.047
Se  0.370  0.278  0.453
Se  0.370  0.592  0.917
Se  0.408  0.083  0.630
Se  0.408  0.826  0.778
Se  0.417  0.092  0.870
Se  0.417  0.826  0.547
Se  0.453  0.370  0.278
Se  0.453  0.583  0.174
Se  0.547  0.417  0.826
Se  0.547  0.630  0.722
Se  0.583  0.174  0.453
Se  0.583  0.908  0.130
Se  0.592  0.174  0.222
Se  0.592  0.917  0.370
Se  0.630  0.408  0.083
Se  0.630  0.722  0.547
Se  0.674  0.083  0.953
Se  0.674  0.092  0.722
Se  0.722  0.547  0.630
Se  0.722  0.674  0.092
Se  0.778  0.408  0.826
Se  0.778  0.870  0.953
Se  0.826  0.547  0.417
Se  0.826  0.778  0.408
Se  0.870  0.417  0.092
Se  0.870  0.953  0.778
Se  0.908  0.130  0.583
Se  0.908  0.278  0.326
Se  0.917  0.047  0.326
Se  0.917  0.370  0.592
Se  0.953  0.674  0.083
Se  0.953  0.778  0.870



Record 8
The following is a DFT calculation (PBE) of a relaxed structure of MnVC3.

Raw total energy (eV per atom): -7.5399

Lattice parameters (Å, degrees): 3.709 3.709 3.709 90.00 90.00 90.00
Element x y z (fractional)
Mn  0.000  0.000  0.000
V  0.500  0.500  0.500
C  0.000  0.000  0.500
C  0.000  0.500  0.000
C  0.500  0.000  0.000



Record 9
The following is a DFT calculation (PBE) of a relaxed structure of TaNb2Cu.

Energy above the lowest structure with this stoichiometry (meV/atom): 111.2

Lattice parameters (Å, degrees): 6.477 6.477 6.477 90.00 90.00 90.00
Element x y z (fractional)
Ta  0.000  0.000  0.000
Ta  0.000  0.500  0.500
Ta  0.500  0.000  0.500
Ta  0.500  0.500  0.000
Nb  0.250  0.250  0.250
Nb  0.250  0.250  0.750
Nb  0.250  0.750  0.250
Nb  0.250  0.750  0.750
Nb  0.750  0.250  0.250
Nb  0.750  0.250  0.750
Nb  0.750  0.750  0.250
Nb  0.750  0.750  0.750
Cu  0.000  0.000  0.500
Cu  0.000  0.500  0.000
Cu  0.500  0.000  0.000
Cu  0.500  0.500  0.500



Record 10
The following is a DFT calculation (PBE) of a relaxed structure of Ba3NaAg2O6.

Raw formation energy (meV/atom): -1225

Lattice parameters (Å, degrees): 6.234 6.234 6.874 90.00 90.00 120.00
Element x y z (fractional)
Ba  0.000  0.000  0.000
Ba  0.333  0.667  0.614
Ba  0.667  0.333  0.386
Na  0.000  0.000  0.500
Ag  0.333  0.667  0.134
Ag  0.667  0.333  0.866
O  0.168  0.337  0.294
O  0.168  0.832  0.294
O  0.337  0.168  0.706
O  0.663  0.832  0.294
O  0.832  0.168  0.706
O  0.832  0.663  0.706



Record 11
The following is a DFT calculation (PBE) of a relaxed structure of TlSiRu2.

Energy above the lowest structure with this stoichiometry (meV/atom): 251.3
Raw formation energy (meV/atom): 226

Lattice parameters (Å, degrees): 6.271 6.271 6.271 90.00 90.00 90.00
Element x y z (fractional)
Tl  0.000  0.000  0.000
Tl  0.000  0.500  0.500
Tl  0.500  0.000  0.500
Tl  0.500  0.500  0.000
Si  0.000  0.000  0.500
Si  0.000  0.500  0.000
Si  0.500  0.000  0.000
Si  0.500  0.500  0.500
Ru  0.250  0.250  0.250
Ru  0.250  0.250  0.750
Ru  0.250  0.750  0.250
Ru  0.250  0.750  0.750
Ru  0.750  0.250  0.250
Ru  0.750  0.250  0.750
Ru  0.750  0.750  0.250
Ru  0.750  0.750  0.750



Record 12
The following is a DFT calculation (PBE) of a relaxed structure of CsNbH2.

Raw total energy (eV per atom): -3.0224

Lattice parameters (Å, degrees): 6.637 6.637 6.637 90.00 90.00 90.00
Element x y z (fractional)
Cs  0.000  0.000  0.000
Cs  0.000  0.500  0.500
Cs  0.500  0.000  0.500
Cs  0.500  0.500  0.000
Nb  0.000  0.000  0.500
Nb  0.000  0.500  0.000
Nb  0.500  0.000  0.000
Nb  0.500  0.500  0.500
H  0.250  0.250  0.250
H  0.250  0.250  0.750
H  0.250  0.750  0.250
H  0.250  0.750  0.750
H  0.750  0.250  0.250
H  0.750  0.250  0.750
H  0.750  0.750  0.250
H  0.750  0.750  0.750



Record 13
The following is a DFT calculation (PBE) of a relaxed structure of Pm2ScTi.

Energy above the lowest structure with this stoichiometry (meV/atom): 14.7

Lattice parameters (Å, degrees): 7.560 7.560 7.560 90.00 90.00 90.00
Element x y z (fractional)
Pm  0.250  0.250  0.250
Pm  0.250  0.250  0.750
Pm  0.250  0.750  0.250
Pm  0.250  0.750  0.750
Pm  0.750  0.250  0.250
Pm  0.750  0.250  0.750
Pm  0.750  0.750  0.250
Pm  0.750  0.750  0.750
Sc  0.000  0.000  0.000
Sc  0.000  0.500  0.500
Sc  0.500  0.000  0.500
Sc  0.500  0.500  0.000
Ti  0.000  0.000  0.500
Ti  0.000  0.500  0.000
Ti  0.500  0.000  0.000
Ti  0.500  0.500  0.500



Record 14
The following is a DFT calculation (PBE) of a relaxed structure of LiGa6Au.

Raw total energy (eV per atom): -3.0446

Lattice parameters (Å, degrees): 6.124 8.978 5.654 90.00 107.47 90.00
Element x y z (fractional)
Li  0.000  0.000  0.000
Li  0.500  0.500  0.000
Ga  0.048  0.500  0.253
Ga  0.186  0.254  0.747
Ga  0.186  0.746  0.747
Ga  0.314  0.246  0.253
Ga  0.314  0.754  0.253
Ga  0.452  0.000  0.747
Ga  0.548  0.000  0.253
Ga  0.686  0.246  0.747
Ga  0.686  0.754  0.747
Ga  0.814  0.254  0.253
Ga  0.814  0.746  0.253
Ga  0.952  0.500  0.747
Au  0.000  0.000  0.500
Au  0.500  0.500  0.500



Record 15
The following is a DFT calculation (PBE) of a relaxed structure of Cu2IrPt.

Energy above the lowest structure with this stoichiometry (meV/atom): 81.8

Lattice parameters (Å, degrees): 2.732 2.732 7.299 90.00 90.00 90.00
Element x y z (fractional)
Cu  0.000  0.000  0.000
Cu  0.500  0.500  0.227
Ir  0.000  0.000  0.473
Pt  0.500  0.500  0.745



Record 16
The following is a DFT calculation (PBE) of a relaxed structure of Rb2IBr7.

Raw formation energy (meV/atom): -695

Lattice parameters (Å, degrees): 8.479 8.479 8.479 120.10 120.10 89.84
Element x y z (fractional)
Rb  0.250  0.750  0.500
Rb  0.750  0.250  0.500
I  0.000  0.000  0.000
Br  0.227  0.227  0.454
Br  0.227  0.773  0.000
Br  0.285  0.285  0.000
Br  0.500  0.500  0.000
Br  0.715  0.715  0.000
Br  0.773  0.227  0.000
Br  0.773  0.773  0.546



Record 17
The following is a DFT calculation (PBE) of a relaxed structure of LaY2BiC.

Raw total energy (eV per atom): -6.7157

Lattice parameters (Å, degrees): 4.949 4.949 5.250 90.00 90.00 90.00
Element x y z (fractional)
La  0.000  0.000  0.000
Y  0.000  0.500  0.500
Y  0.500  0.000  0.500
Bi  0.500  0.500  0.000
C  0.000  0.000  0.500



Record 18
The following is a DFT calculation (PBE) of a relaxed structure of SmMg2InGa.

Raw total energy (eV per atom): -2.9251

Lattice parameters (Å, degrees): 8.968 8.968 8.479 90.00 90.00 157.31
Element x y z (fractional)
Sm  0.099  0.901  0.750
Sm  0.901  0.099  0.250
Mg  0.325  0.675  0.559
Mg  0.325  0.675  0.941
Mg  0.675  0.325  0.059
Mg  0.675  0.325  0.441
In  0.500  0.500  0.000
In  0.500  0.500  0.500
Ga  0.257  0.743  0.250
Ga  0.743  0.257  0.750



Record 19
The following is a DFT calculation (PBE) of a relaxed structure of Si2TcOs.

Energy above the lowest structure with this stoichiometry (meV/atom): 406.4
Raw formation energy (meV/atom): -8

Lattice parameters (Å, degrees): 3.573 3.573 8.439 90.00 90.00 90.00
Element x y z (fractional)
Si  0.000  0.000  0.000
Si  0.000  0.500  0.250
Si  0.500  0.000  0.750
Si  0.500  0.500  0.500
Tc  0.000  0.500  0.750
Tc  0.500  0.000  0.250
Os  0.000  0.000  0.500
Os  0.500  0.500  0.000



Record 20
The following is a DFT calculation (PBE) of a relaxed structure of FeNi2Pb.

Raw total energy (eV per atom): -5.3636

Lattice parameters (Å, degrees): 3.880 3.880 17.170 90.00 90.00 90.00
Element x y z (fractional)
Fe  0.000  0.000  0.000
Fe  0.000  0.500  0.250
Fe  0.500  0.000  0.750
Fe  0.500  0.500  0.500
Ni  0.199  0.250  0.125
Ni  0.250  0.699  0.375
Ni  0.250  0.801  0.875
Ni  0.301  0.250  0.625
Ni  0.699  0.750  0.625
Ni  0.750  0.199  0.875
Ni  0.750  0.301  0.375
Ni  0.801  0.750  0.125
Pb  0.000  0.000  0.500
Pb  0.000  0.500  0.750
Pb  0.500  0.000  0.250
Pb  0.500  0.500  0.000